Density functional theory data (PBE) for crystalline Ti2BePI at its relaxed geometry.

Cell lengths 5.021, 4.282, 5.021 Å; angles 90.00, 90.00, 90.00 degrees
Positions (direct):
I (0.000, 0.000, 0.000)
P (0.500, 0.500, 0.500)
Be (0.000, 0.500, 0.000)
Ti (0.000, 0.000, 0.500)
Ti (0.500, 0.000, 0.000)

Results
* raw formation energy: 1.340 eV/atom

---

Density functional theory data (PBE) for crystalline TiBePI2 at its relaxed geometry.

Cell lengths 4.922, 4.915, 4.922 Å; angles 90.00, 90.00, 90.00 degrees
Last column: magnetic moment on the atom in μB.
Positions (direct):
I (0.000, 0.000, 0.500)  0.02
I (0.500, 0.000, 0.000)  0.02
P (0.500, 0.500, 0.500)  0.26
Be (0.000, 0.000, 0.000)  0.03
Ti (0.000, 0.500, 0.000)  -0.05

Results
* raw formation energy: 1.011 eV/atom

---

Density functional theory data (PBE) for crystalline BeTlPI2 at its relaxed geometry.

Cell lengths 5.543, 5.837, 5.543 Å; angles 90.00, 90.00, 90.00 degrees
Positions (direct):
I (0.000, 0.000, 0.500)
I (0.500, 0.000, 0.000)
P (0.000, 0.000, 0.000)
Tl (0.000, 0.500, 0.000)
Be (0.500, 0.500, 0.500)

Results
* raw formation energy: 0.716 eV/atom

---

Density functional theory data (PBE) for crystalline YBeP2I at its relaxed geometry.

Cell lengths 5.307, 5.686, 5.307 Å; angles 90.00, 90.00, 90.00 degrees
Last column: magnetic moment on the atom in μB.
Positions (direct):
I (0.500, 0.500, 0.500)  0.26
Y (0.000, 0.000, 0.000)  0.05
Be (0.000, 0.500, 0.000)  0.01
P (0.000, 0.000, 0.500)  0.16
P (0.500, 0.000, 0.000)  0.18

Results
* raw formation energy: 0.991 eV/atom

---

Density functional theory data (PBE) for crystalline PaBe2I8 at its relaxed geometry.

Cell lengths 8.578, 8.982, 8.578 Å; angles 104.33, 93.04, 104.33 degrees
Last column: magnetic moment on the atom in μB.
Positions (direct):
Pa (0.000, 0.000, 0.000)  1.04
Be (0.186, 0.349, 0.186)  0.00
Be (0.814, 0.651, 0.814)  0.00
I (0.799, 0.730, 0.117)  -0.01
I (0.883, 0.270, 0.201)  -0.01
I (0.318, 0.604, 0.318)  0.00
I (0.682, 0.396, 0.682)  0.00
I (0.117, 0.730, 0.799)  -0.01
I (0.201, 0.270, 0.883)  -0.01
I (0.276, 0.133, 0.276)  -0.01
I (0.724, 0.867, 0.724)  -0.01

Results
* raw formation energy: -0.675 eV/atom

---

Density functional theory data (PBE) for crystalline PaBeI at its relaxed geometry.

Cell lengths 3.799, 4.050, 10.306 Å; angles 78.67, 90.00, 90.00 degrees
Last column: magnetic moment on the atom in μB.
Positions (direct):
Be (0.750, 0.480, 0.041)  0.00
Be (0.250, 0.520, 0.959)  0.00
I (0.750, 0.341, 0.318)  0.00
I (0.250, 0.659, 0.682)  0.00
Pa (0.750, 0.070, 0.859)  0.28
Pa (0.250, 0.930, 0.141)  0.28

Results
* raw formation energy: -0.216 eV/atom

---

Density functional theory data (PBE) for crystalline BePb2I2 at its relaxed geometry.

Cell lengths 6.612, 6.612, 6.397 Å; angles 58.88, 58.88, 90.00 degrees
Positions (direct):
Pb (0.300, 0.300, 0.399)
Pb (0.700, 0.700, 0.601)
I (0.750, 0.250, 0.500)
I (0.250, 0.750, 0.500)
Be (0.000, 0.000, 0.000)

Results
* raw formation energy: 0.266 eV/atom
* relative energy among the computed polymorphs: 0.070 eV/atom

---

Density functional theory data (PBE) for crystalline BePb2I2 at its relaxed geometry.

Cell lengths 7.632, 7.632, 5.574 Å; angles 90.00, 90.00, 90.00 degrees
Positions (direct):
Pb (0.322, 0.822, 0.000)
Pb (0.822, 0.678, 0.000)
Pb (0.678, 0.178, 0.000)
Pb (0.178, 0.322, 0.000)
I (0.181, 0.681, 0.500)
I (0.681, 0.819, 0.500)
I (0.819, 0.319, 0.500)
I (0.319, 0.181, 0.500)
Be (0.000, 0.000, 0.000)
Be (0.500, 0.500, 0.000)

Results
* raw formation energy: 0.196 eV/atom
* relative energy among the computed polymorphs: 0.000 eV/atom

---

Density functional theory data (PBE) for crystalline BePb3I at its relaxed geometry.

Cell lengths 6.026, 6.026, 6.026 Å; angles 90.00, 90.00, 90.00 degrees
Positions (direct):
Pb (0.000, 0.500, 0.000)
Pb (0.000, 0.000, 0.500)
Pb (0.500, 0.000, 0.000)
I (0.000, 0.000, 0.000)
Be (0.500, 0.500, 0.500)

Results
* raw formation energy: 1.238 eV/atom
* relative energy among the computed polymorphs: 0.928 eV/atom

---

Density functional theory data (PBE) for crystalline Be2PbI2 at its relaxed geometry.

Cell lengths 5.993, 5.993, 5.657 Å; angles 58.01, 58.01, 90.00 degrees
Positions (direct):
Pb (0.000, 0.000, 0.000)
I (0.750, 0.250, 0.500)
I (0.250, 0.750, 0.500)
Be (0.353, 0.353, 0.294)
Be (0.647, 0.647, 0.706)

Results
* raw formation energy: 0.505 eV/atom
* relative energy among the computed polymorphs: 0.106 eV/atom

---

Density functional theory data (PBE) for crystalline Be2PbI2 at its relaxed geometry.

Cell lengths 8.567, 8.567, 3.803 Å; angles 90.00, 90.00, 90.00 degrees
Positions (direct):
Pb (0.000, 0.000, 0.000)
Pb (0.500, 0.500, 0.000)
I (0.287, 0.787, 0.500)
I (0.787, 0.713, 0.500)
I (0.713, 0.213, 0.500)
I (0.213, 0.287, 0.500)
Be (0.415, 0.915, 0.000)
Be (0.915, 0.585, 0.000)
Be (0.585, 0.085, 0.000)
Be (0.085, 0.415, 0.000)

Results
* raw formation energy: 0.399 eV/atom
* relative energy among the computed polymorphs: 0.000 eV/atom

---

Density functional theory data (PBE) for crystalline BePbI2 at its relaxed geometry.

Cell lengths 7.275, 7.275, 7.394 Å; angles 60.53, 60.53, 90.00 degrees
Positions (direct):
Pb (0.000, 0.000, 0.000)
Pb (0.750, 0.250, 0.500)
I (0.507, 0.125, 0.250)
I (0.243, 0.625, 0.250)
I (0.375, 0.493, 0.750)
I (0.875, 0.757, 0.750)
Be (0.500, 0.500, 0.000)
Be (0.250, 0.750, 0.500)

Results
* raw formation energy: 0.232 eV/atom
* relative energy among the computed polymorphs: 0.000 eV/atom

---

Density functional theory data (PBE) for crystalline Be2PbI at its relaxed geometry.

Cell lengths 5.894, 5.894, 7.095 Å; angles 65.46, 65.46, 90.00 degrees
Positions (direct):
Pb (0.000, 0.000, 0.000)
Pb (0.750, 0.250, 0.500)
I (0.500, 0.500, 0.000)
I (0.250, 0.750, 0.500)
Be (0.634, 0.125, 0.250)
Be (0.116, 0.625, 0.250)
Be (0.375, 0.366, 0.750)
Be (0.875, 0.884, 0.750)

Results
* raw formation energy: 0.552 eV/atom
* relative energy among the computed polymorphs: 0.000 eV/atom

---

Density functional theory data (PBE) for crystalline Be3PbI at its relaxed geometry.

Cell lengths 4.831, 4.831, 4.831 Å; angles 90.00, 90.00, 90.00 degrees
Positions (direct):
Pb (0.500, 0.500, 0.500)
I (0.000, 0.000, 0.000)
Be (0.000, 0.500, 0.000)
Be (0.000, 0.000, 0.500)
Be (0.500, 0.000, 0.000)

Results
* raw formation energy: 1.482 eV/atom
* relative energy among the computed polymorphs: 0.403 eV/atom

---

Density functional theory data (PBE) for crystalline Be3PbI at its relaxed geometry.

Cell lengths 4.918, 4.918, 4.918 Å; angles 90.00, 90.00, 90.00 degrees
Positions (direct):
Pb (0.000, 0.000, 0.000)
I (0.500, 0.500, 0.500)
Be (0.000, 0.500, 0.000)
Be (0.000, 0.000, 0.500)
Be (0.500, 0.000, 0.000)

Results
* raw formation energy: 1.080 eV/atom
* relative energy among the computed polymorphs: 0.000 eV/atom

---

Density functional theory data (PBE) for crystalline BePb3I at its relaxed geometry.

Cell lengths 5.321, 5.321, 5.321 Å; angles 90.00, 90.00, 90.00 degrees
Positions (direct):
Pb (0.000, 0.500, 0.000)
Pb (0.000, 0.000, 0.500)
Pb (0.500, 0.000, 0.000)
I (0.500, 0.500, 0.500)
Be (0.000, 0.000, 0.000)

Results
* raw formation energy: 0.309 eV/atom
* relative energy among the computed polymorphs: 0.000 eV/atom

---

Density functional theory data (PBE) for crystalline Be2PbI at its relaxed geometry.

Cell lengths 4.907, 4.907, 4.907 Å; angles 60.00, 60.00, 60.00 degrees
Positions (direct):
Pb (0.500, 0.500, 0.500)
I (0.000, 0.000, 0.000)
Be (0.250, 0.250, 0.250)
Be (0.750, 0.750, 0.750)

Results
* raw formation energy: 1.093 eV/atom
* relative energy among the computed polymorphs: 0.540 eV/atom

---

Density functional theory data (PBE) for crystalline BePbI2 at its relaxed geometry.

Cell lengths 5.627, 5.627, 5.627 Å; angles 60.00, 60.00, 60.00 degrees
Positions (direct):
Pb (0.500, 0.500, 0.500)
I (0.250, 0.250, 0.250)
I (0.750, 0.750, 0.750)
Be (0.000, 0.000, 0.000)

Results
* raw formation energy: 0.446 eV/atom
* relative energy among the computed polymorphs: 0.214 eV/atom

---

Density functional theory data (PBE) for crystalline BePtPb2I at its relaxed geometry.

Cell lengths 5.079, 4.958, 5.079 Å; angles 90.00, 90.00, 90.00 degrees
Positions (direct):
Pb (0.000, 0.000, 0.500)
Pb (0.500, 0.000, 0.000)
I (0.000, 0.500, 0.000)
Pt (0.500, 0.500, 0.500)
Be (0.000, 0.000, 0.000)

Results
* raw formation energy: 0.633 eV/atom

---

Density functional theory data (PBE) for crystalline Rb2BePbI6 at its relaxed geometry.

Cell lengths 8.378, 8.378, 8.384 Å; angles 60.02, 60.02, 90.00 degrees
Positions (direct):
Pb (0.000, 0.000, 0.000)
I (0.269, 0.269, 0.461)
I (0.731, 0.731, 0.539)
I (0.270, 0.270, 0.000)
I (0.730, 0.730, 0.000)
I (0.730, 0.270, 0.000)
I (0.270, 0.730, 0.000)
Rb (0.750, 0.250, 0.500)
Rb (0.250, 0.750, 0.500)
Be (0.500, 0.500, 0.000)

Results
* raw formation energy: -0.797 eV/atom

---

Density functional theory data (PBE) for crystalline BeSbPbI2 at its relaxed geometry.

Cell lengths 6.251, 6.251, 6.151 Å; angles 90.00, 90.00, 90.00 degrees
Last column: magnetic moment on the atom in μB.
Positions (direct):
Pb (0.000, 0.000, 0.000)  0.04
I (0.000, 0.500, 0.000)  0.06
I (0.500, 0.000, 0.000)  0.06
Be (0.500, 0.500, 0.500)  -0.02
Sb (0.000, 0.000, 0.500)  0.66

Results
* raw formation energy: 0.834 eV/atom
* relative energy among the computed polymorphs: 0.626 eV/atom

---

Density functional theory data (PBE) for crystalline BeSb2PbI at its relaxed geometry.

Cell lengths 5.004, 5.004, 5.548 Å; angles 90.00, 90.00, 90.00 degrees
Positions (direct):
Pb (0.500, 0.500, 0.500)
I (0.000, 0.000, 0.500)
Be (0.000, 0.000, 0.000)
Sb (0.000, 0.500, 0.000)
Sb (0.500, 0.000, 0.000)

Results
* raw formation energy: 0.330 eV/atom
* relative energy among the computed polymorphs: 0.000 eV/atom

---

Density functional theory data (PBE) for crystalline BeSb2PbI at its relaxed geometry.

Cell lengths 5.947, 5.947, 6.198 Å; angles 90.00, 90.00, 90.00 degrees
Last column: magnetic moment on the atom in μB.
Positions (direct):
Pb (0.000, 0.000, 0.000)  0.00
I (0.000, 0.000, 0.500)  0.11
Be (0.500, 0.500, 0.500)  0.02
Sb (0.000, 0.500, 0.000)  0.33
Sb (0.500, 0.000, 0.000)  0.33

Results
* raw formation energy: 1.215 eV/atom
* relative energy among the computed polymorphs: 0.885 eV/atom

---

Density functional theory data (PBE) for crystalline BeSbPbI2 at its relaxed geometry.

Cell lengths 5.271, 5.271, 5.244 Å; angles 90.00, 90.00, 90.00 degrees
Positions (direct):
Pb (0.500, 0.500, 0.500)
I (0.000, 0.500, 0.000)
I (0.500, 0.000, 0.000)
Be (0.000, 0.000, 0.000)
Sb (0.000, 0.000, 0.500)

Results
* raw formation energy: 0.208 eV/atom
* relative energy among the computed polymorphs: 0.000 eV/atom

---

Density functional theory data (PBE) for crystalline BeTc2PbI at its relaxed geometry.

Cell lengths 5.024, 4.407, 5.024 Å; angles 90.00, 90.00, 90.00 degrees
Last column: magnetic moment on the atom in μB.
Positions (direct):
Pb (0.500, 0.500, 0.500)  -0.03
I (0.000, 0.000, 0.000)  -0.03
Tc (0.000, 0.000, 0.500)  1.29
Tc (0.500, 0.000, 0.000)  1.61
Be (0.000, 0.500, 0.000)  -0.04

Results
* raw formation energy: 1.755 eV/atom

---

Density functional theory data (PBE) for crystalline BeTe2PbI at its relaxed geometry.

Cell lengths 5.917, 5.917, 6.120 Å; angles 90.00, 90.00, 90.00 degrees
Positions (direct):
Pb (0.000, 0.000, 0.000)
I (0.000, 0.000, 0.500)
Te (0.000, 0.500, 0.000)
Te (0.500, 0.000, 0.000)
Be (0.500, 0.500, 0.500)

Results
* raw formation energy: 0.927 eV/atom
* relative energy among the computed polymorphs: 0.851 eV/atom

---

Density functional theory data (PBE) for crystalline BeTe2PbI at its relaxed geometry.

Cell lengths 5.134, 5.134, 5.399 Å; angles 90.00, 90.00, 90.00 degrees
Positions (direct):
Pb (0.500, 0.500, 0.500)
I (0.000, 0.000, 0.500)
Te (0.000, 0.500, 0.000)
Te (0.500, 0.000, 0.000)
Be (0.000, 0.000, 0.000)

Results
* raw formation energy: 0.076 eV/atom
* relative energy among the computed polymorphs: 0.000 eV/atom

---

One value per record, in order, for VASP energy: -19.77 -15.07 -11.02 -17.61 -36.78 -30.84 -12.91 -26.52 -10.21 -11.73 -24.53 -19.22 -21.00 -9.02 -11.04 -14.85 -8.34 -8.75 -15.57 -26.64 -10.49 -15.58 -11.15 -13.62 -20.94 -10.63 -14.89 eV per cell.